Sr2TlVIr | PBE | optimized geometry

Computed properties:
- crystal system = tetragonal
- uncorrected energy (eV per formula unit) = -21.60
- energy relative to the elements (eV per atom) = 0.4223

Cell lengths 6.020, 4.486, 6.020 Å; angles 90.00, 90.00, 90.00 degrees
Positions (direct):
Sr (0.000, 0.000, 0.500)
Sr (0.500, 0.000, 0.000)
Ir (0.000, 0.500, 0.000)
V (0.000, 0.000, 0.000)
Tl (0.500, 0.500, 0.500)